Entry 1:
DFT (PBE-GGA) results for KCr2Au after structural relaxation.

The uncorrected energy is -0.18086 hartree per atom. The energy of formation from the pure elements is 0.984 eV per atom. For the polymorph energy (0 for the lowest one), the calculation gives 559 meV/atom. Its density of states at the Fermi level is 8.49 states/eV per cell.

It has space group F-43m (No. 216), with a = 7.2109 Å, b = 7.2109 Å, c = 7.2109 Å, α = 90.00°, β = 90.00° and γ = 90.00°. The inequivalent atoms are K at (0.0000, 0.0000, 0.0000), Cr at (0.0000, 0.0000, 0.5000), Cr at (0.2500, 0.2500, 0.7500) and Au at (0.2500, 0.2500, 0.2500).



Entry 2:
DFT (PBE-GGA) results for KCrAu3 after structural relaxation.

The uncorrected energy is -0.13389 hartree per atom. The energy of formation from the pure elements is 0.467 eV per atom. For the polymorph energy (0 for the lowest one), the calculation gives 0 meV/atom. Its density of states at the Fermi level is 5.52 states/eV per cell.

It has space group Pm-3m (No. 221), with a = 4.9821 Å, b = 4.9821 Å, c = 4.9821 Å, α = 90.00°, β = 90.00° and γ = 90.00°. The inequivalent atoms are K at (0.0000, 0.0000, 0.0000), Cr at (0.5000, 0.5000, 0.5000) and Au at (0.0000, 0.5000, 0.5000).



Entry 3:
DFT (PBE-GGA) results for KCr2Au after structural relaxation.

The uncorrected energy is -0.19745 hartree per atom. The energy of formation from the pure elements is 0.532 eV per atom. For the polymorph energy (0 for the lowest one), the calculation gives 108 meV/atom. Its density of states at the Fermi level is 2.53 states/eV per cell.

It has space group Cm (No. 8), with a = 8.8010 Å, b = 3.0532 Å, c = 7.2541 Å, α = 90.00°, β = 97.71° and γ = 90.00°. The inequivalent atoms are K at (0.0000, 0.0000, 0.0000), Cr at (0.0037, 0.5000, 0.4767), Cr at (0.2850, 0.5000, 0.3772) and Au at (0.2341, 0.0000, 0.6750).



Entry 4:
DFT (PBE-GGA) results for K2CrAuN after structural relaxation.

The uncorrected energy is -0.14317 hartree per atom. The value obtained for the uncorrected formation energy is 3.9 eV per formula unit. Its density of states at the Fermi level is 2.97 states/eV per cell.

It has space group P4/mmm (No. 123), with a = 6.5557 Å, b = 6.5557 Å, c = 3.8266 Å, α = 90.00°, β = 90.00° and γ = 90.00°. The inequivalent atoms are K at (0.0000, 0.5000, 0.0000), Cr at (0.0000, 0.0000, 0.5000), Au at (0.5000, 0.5000, 0.0000) and N at (0.5000, 0.5000, 0.5000).



Entry 5:
DFT (PBE-GGA) results for KCrNiAu2 after structural relaxation.

The uncorrected energy is -0.12560 hartree per atom. The energy of formation from the pure elements is 1.194 eV per atom. Its density of states at the Fermi level is 8.59 states/eV per cell.

It has space group P4/mmm (No. 123), with a = 5.0652 Å, b = 5.0652 Å, c = 5.6332 Å, α = 90.00°, β = 90.00° and γ = 90.00°. The inequivalent atoms are K at (0.0000, 0.0000, 0.0000), Cr at (0.0000, 0.0000, 0.5000), Ni at (0.5000, 0.5000, 0.0000) and Au at (0.0000, 0.5000, 0.5000).



Per-record spin magnetization, μB per cell: 38.698 0.000 0.014 5.267 4.598